No. 1
A plane-wave DFT calculation with PBE-GGA was carried out for crystalline LiAu2Cl at its relaxed geometry.

a = 6.6554 Å, b = 6.6554 Å, c = 6.6554 Å
α = 90.00°, β = 90.00°, γ = 90.00°
Last column: nearest neighbours and their distance in Å.
Space group Fm-3m (No. 225)
Inequivalent atoms, fractional coordinates:
Li (0.0000, 0.0000, 0.0000)  8 Au 2.88
Au (0.2500, 0.2500, 0.2500)  4 Cl 2.88, 4 Li 2.88
Cl (0.0000, 0.0000, 0.5000)  8 Au 2.88

Energy relative to the elements, uncorrected, eV/f.u.: 0.1
Calculated density, g/cm³: 9.83
DOS(E_F), states/eV per cell: 6.09


No. 2
A plane-wave DFT calculation with PBE-GGA was carried out for crystalline Zr2CuPb at its relaxed geometry.

a = 10.2166 Å, b = 3.2528 Å, c = 5.3802 Å
α = 90.00°, β = 106.29°, γ = 90.00°
Last column: nearest neighbours and their distance in Å.
Space group C2/m (No. 12)
Inequivalent atoms, fractional coordinates:
Zr (0.2396, 0.0000, 0.2296)  3 Cu 2.91-3.23, 4 Zr 3.01-3.25, 3 Pb 3.11-3.18
Cu (0.0000, 0.5000, 0.0000)  6 Zr 2.91-3.23, 4 Pb 3.14, 2 Cu 3.25
Pb (0.0000, 0.0000, 0.5000)  6 Zr 3.11-3.18, 4 Cu 3.14, 2 Pb 3.25

Calculated density, g/cm³: 8.77
DOS(E_F), states/eV per cell: 7.31
Formation energy from the elements, eV/atom: 0.059


No. 3
A plane-wave DFT calculation with PBE-GGA was carried out for crystalline Ni2OsAu at its relaxed geometry.

a = 2.7038 Å, b = 3.5759 Å, c = 5.6188 Å
α = 90.00°, β = 90.00°, γ = 90.00°
Last column: nearest neighbours and their distance in Å.
Space group Pmmm (No. 47)
Inequivalent atoms, fractional coordinates:
Ni (0.0000, 0.0000, 0.2198)  3 Ni 2.47-2.70, 4 Os 2.56, 4 Au 2.74
Os (0.5000, 0.5000, 0.0000)  8 Ni 2.56, 2 Os 2.70, 2 Au 2.81
Au (0.5000, 0.5000, 0.5000)  2 Au 2.70, 8 Ni 2.74, 2 Os 2.81

Calculated density, g/cm³: 15.42
DOS(E_F), states/eV per cell: 3.68
Formation energy from the elements, eV/atom: 0.203


No. 4
A plane-wave DFT calculation with PBE-GGA was carried out for crystalline CdAs3 at its relaxed geometry.

a = 2.8211 Å, b = 3.9228 Å, c = 7.8615 Å
α = 90.00°, β = 96.67°, γ = 90.00°
Last column: nearest neighbours and their distance in Å.
Space group P2/m (No. 10)
Inequivalent atoms, fractional coordinates:
Cd (0.0000, 0.0000, 0.0000)  2 Cd 2.82, 4 As 2.89
As (0.0000, 0.0000, 0.5000)  6 As 2.69-2.82
As (0.0894, 0.5000, 0.7356)  4 As 2.69-2.82, 2 Cd 2.89

Calculated density, g/cm³: 6.48
DOS(E_F), states/eV per cell: 1.66
Formation energy from the elements, eV/atom: 0.125


No. 5
A plane-wave DFT calculation with PBE-GGA was carried out for crystalline MnTe2Au at its relaxed geometry.

a = 4.1016 Å, b = 6.3334 Å, c = 7.9275 Å
α = 94.90°, β = 96.75°, γ = 91.67°
Last column: nearest neighbours and their distance in Å.
Space group P1 (No. 1)
Inequivalent atoms, fractional coordinates:
Mn (0.0000, 0.0000, 0.0000)  1 Mn 1.99
Mn (0.3563, 0.8389, 0.9046)  1 Mn 1.99
Te (0.1735, 0.1987, 0.2907)  1 Mn 2.54, 1 Au 2.75
Te (0.5557, 0.1714, 0.7943)  2 Mn 2.50-2.62, 1 Au 2.80
Te (0.7381, 0.7163, 0.1535)  2 Mn 2.54-2.56
Te (0.8620, 0.7028, 0.6905)  1 Mn 2.56, 1 Au 2.74
Au (0.1878, 0.4321, 0.9958)  4 Te 2.80-2.93, 2 Mn 2.82-2.83
Au (0.6725, 0.9885, 0.4602)  5 Te 2.74-2.93

Energy relative to the elements, uncorrected, eV/f.u.: 0.2
Calculated density, g/cm³: 8.27
DOS(E_F), states/eV per cell: 5.49


No. 6
A plane-wave DFT calculation with PBE-GGA was carried out for crystalline Sr3LaNi at its relaxed geometry.

a = 6.0810 Å, b = 6.0810 Å, c = 6.0810 Å
α = 90.00°, β = 90.00°, γ = 90.00°
Last column: nearest neighbours and their distance in Å.
Space group Pm-3m (No. 221)
Inequivalent atoms, fractional coordinates:
Sr (0.0000, 0.0000, 0.5000)  2 La 3.04
La (0.0000, 0.0000, 0.0000)  6 Sr 3.04
Ni (0.5000, 0.5000, 0.5000)  12 Sr 4.30

Calculated density, g/cm³: 3.40
DOS(E_F), states/eV per cell: 12.99
Formation energy from the elements, eV/atom: 1.353


No. 7
A plane-wave DFT calculation with PBE-GGA was carried out for crystalline Y3BeH at its relaxed geometry.

a = 4.7283 Å, b = 4.7283 Å, c = 4.7283 Å
α = 90.00°, β = 90.00°, γ = 90.00°
Last column: nearest neighbours and their distance in Å.
Space group Pm-3m (No. 221)
Inequivalent atoms, fractional coordinates:
Y (0.0000, 0.0000, 0.5000)  2 H 2.36
Be (0.5000, 0.5000, 0.5000)  12 Y 3.34
H (0.0000, 0.0000, 0.0000)  6 Y 2.36

E, eV/atom: -5.22
Calculated density, g/cm³: 4.35
DOS(E_F), states/eV per cell: 3.65


No. 8
A plane-wave DFT calculation with PBE-GGA was carried out for crystalline CaSnSe2 at its relaxed geometry.

a = 6.0046 Å, b = 6.0274 Å, c = 6.0284 Å
α = 90.00°, β = 90.00°, γ = 90.00°
Last column: nearest neighbours and their distance in Å.
Space group Amm2 (No. 38)
Inequivalent atoms, fractional coordinates:
Ca (0.0000, 0.0000, 0.0000)  6 Se 3.00-3.01
Sn (0.5000, 0.0000, 0.4989)  6 Se 3.00-3.02
Se (0.0000, 0.0000, 0.4999)  2 Sn 3.00, 4 Ca 3.01
Se (0.5000, 0.0000, 0.0005)  2 Ca 3.00, 4 Sn 3.00-3.02

Energy relative to the elements, uncorrected, eV/f.u.: -5.0
Calculated density, g/cm³: 4.82


No. 9
A plane-wave DFT calculation with PBE-GGA was carried out for crystalline Rh2AuF at its relaxed geometry.

a = 6.2256 Å, b = 6.2256 Å, c = 6.2256 Å
α = 90.00°, β = 90.00°, γ = 90.00°
Last column: nearest neighbours and their distance in Å.
Space group Fm-3m (No. 225)
Inequivalent atoms, fractional coordinates:
Rh (0.2500, 0.2500, 0.2500)  4 F 2.70, 4 Au 2.70
Au (0.0000, 0.0000, 0.0000)  8 Rh 2.70
F (0.0000, 0.0000, 0.5000)  8 Rh 2.70

Energy relative to the elements, uncorrected, eV/f.u.: 1.1
Calculated density, g/cm³: 11.61
DOS(E_F), states/eV per cell: 13.71


No. 10
A plane-wave DFT calculation with PBE-GGA was carried out for crystalline Ba2NaSi2O6 at its relaxed geometry.

a = 5.8648 Å, b = 5.8648 Å, c = 18.1629 Å
α = 90.00°, β = 90.00°, γ = 120.00°
Last column: nearest neighbours and their distance in Å.
Space group R-3m (No. 166, hexagonal axes)
Inequivalent atoms, fractional coordinates:
Ba (0.0000, 0.0000, 0.2196)  9 O 2.98-3.02
Na (0.0000, 0.0000, 0.0000)  6 O 2.37
Si (0.0000, 0.0000, 0.4338)  3 O 1.62
O (0.0189, 0.5094, 0.2477)  1 Si 1.62

Energy relative to the elements, uncorrected, eV/f.u.: -27.2
Calculated density, g/cm³: 4.14
DOS(E_F), states/eV per cell: 3.00


No. 11
A plane-wave DFT calculation with PBE-GGA was carried out for crystalline CsHfRu3 at its relaxed geometry.

a = 4.8138 Å, b = 4.8138 Å, c = 4.8138 Å
α = 90.00°, β = 90.00°, γ = 90.00°
Last column: nearest neighbours and their distance in Å.
Space group Pm-3m (No. 221)
Inequivalent atoms, fractional coordinates:
Cs (0.0000, 0.0000, 0.0000)  6 Ru 2.41
Hf (0.5000, 0.5000, 0.5000)  12 Ru 3.40
Ru (0.0000, 0.0000, 0.5000)  2 Cs 2.41

Calculated density, g/cm³: 9.15
DOS(E_F), states/eV per cell: 4.69
Formation energy from the elements, eV/atom: 2.511


No. 12
A plane-wave DFT calculation with PBE-GGA was carried out for crystalline BePb at its relaxed geometry.

a = 4.3922 Å, b = 4.3922 Å, c = 4.7442 Å
α = 90.00°, β = 90.00°, γ = 120.00°
Last column: nearest neighbours and their distance in Å.
Space group P6_3/mmc (No. 194)
Inequivalent atoms, fractional coordinates:
Be (0.0000, 0.0000, 0.0000)  2 Be 2.37
Pb (0.3333, 0.6667, 0.2500)  6 Be 2.80

Calculated density, g/cm³: 9.06
DOS(E_F), states/eV per cell: 1.57
Formation energy from the elements, eV/atom: 0.471


No. 13
A plane-wave DFT calculation with PBE-GGA was carried out for crystalline SmCo5Si2 at its relaxed geometry.

a = 3.6354 Å, b = 6.4937 Å, c = 9.0985 Å
α = 90.00°, β = 90.00°, γ = 90.00°
Last column: nearest neighbours and their distance in Å.
Space group Immm (No. 71)
Inequivalent atoms, fractional coordinates:
Sm (0.0000, 0.0000, 0.0000)  4 Si 2.96, 10 Co 3.02-3.25
Co (0.0000, 0.1867, 0.3568)  3 Si 2.28-2.36, 3 Co 2.43-2.54
Co (0.0000, 0.5000, 0.0000)  2 Si 2.21
Si (0.0000, 0.5000, 0.2425)  7 Co 2.21-2.36

Energy relative to the elements, uncorrected, eV/f.u.: -3.2
Calculated density, g/cm³: 7.75
DOS(E_F), states/eV per cell: 18.39


No. 14
A plane-wave DFT calculation with PBE-GGA was carried out for crystalline ZrBe2Co2 at its relaxed geometry.

a = 3.5118 Å, b = 3.5118 Å, c = 19.3935 Å
α = 90.00°, β = 90.00°, γ = 90.00°
Last column: nearest neighbours and their distance in Å.
Space group I4/mmm (No. 139)
Inequivalent atoms, fractional coordinates:
Zr (0.0000, 0.0000, 0.1255)  8 Be 2.72-3.00, 8 Co 2.73-2.98
Be (0.0000, 0.0000, 0.3177)  5 Co 2.19-2.23
Be (0.0000, 0.5000, 0.0000)  4 Co 2.19
Co (0.0000, 0.0000, 0.4327)  5 Be 2.19-2.23
Co (0.0000, 0.5000, 0.2500)  4 Be 2.19

Calculated density, g/cm³: 6.31
DOS(E_F), states/eV per cell: 13.89
Formation energy from the elements, eV/atom: -0.269


No. 15
A plane-wave DFT calculation with PBE-GGA was carried out for crystalline LaNd4Pt2 at its relaxed geometry.

a = 7.9666 Å, b = 6.7837 Å, c = 8.3397 Å
α = 90.00°, β = 113.38°, γ = 90.00°
Last column: nearest neighbours and their distance in Å.
Space group P2_1/m (No. 11)
Inequivalent atoms, fractional coordinates:
La (0.1455, 0.2500, 0.0257)  2 Pt 2.90-3.11
Nd (0.0130, 0.2500, 0.3856)  2 Pt 2.83-3.03
Nd (0.2553, 0.7500, 0.3527)  2 Pt 2.87-2.99
Nd (0.4066, 0.0099, 0.7650)  4 Pt 3.12-3.39, 1 Nd 3.26
Pt (0.2528, 0.7500, 0.9932)  6 Nd 2.99-3.17, 1 La 3.11
Pt (0.3726, 0.2500, 0.3970)  4 Nd 2.83-3.15, 1 La 2.90

Calculated density, g/cm³: 8.88
DOS(E_F), states/eV per cell: 16.89
Formation energy from the elements, eV/atom: -0.599


No. 16
A plane-wave DFT calculation with PBE-GGA was carried out for crystalline NdYBeN2 at its relaxed geometry.

a = 5.0039 Å, b = 5.2232 Å, c = 6.5969 Å
α = 90.00°, β = 90.00°, γ = 90.00°
Last column: nearest neighbours and their distance in Å.
Space group Pccm (No. 49)
Inequivalent atoms, fractional coordinates:
Nd (0.0000, 0.0000, 0.2500)  4 N 2.53
Y (0.5000, 0.5000, 0.2500)  4 N 2.39
Be (0.0000, 0.5000, 0.0000)  2 N 1.58
N (0.2298, 0.2927, 0.0000)  1 Be 1.58

Energy relative to the elements, uncorrected, eV/f.u.: -4.3
Calculated density, g/cm³: 5.20
DOS(E_F), states/eV per cell: 6.12


No. 17
A plane-wave DFT calculation with PBE-GGA was carried out for crystalline SbIr at its relaxed geometry.

a = 8.0229 Å, b = 8.0229 Å, c = 3.1175 Å
α = 90.00°, β = 90.00°, γ = 90.00°
Last column: nearest neighbours and their distance in Å.
Space group P4_2/mnm (No. 136)
Inequivalent atoms, fractional coordinates:
Sb (0.1944, 0.1944, 0.0000)  4 Ir 2.57-2.62
Ir (0.1250, 0.8750, 0.0000)  4 Sb 2.57-2.62, 1 Ir 2.84

Energy relative to the elements, uncorrected, eV/f.u.: 0.3
Calculated density, g/cm³: 10.39
DOS(E_F), states/eV per cell: 2.90


No. 18
A plane-wave DFT calculation with PBE-GGA was carried out for crystalline YV2Ge2 at its relaxed geometry.

a = 7.7258 Å, b = 7.7258 Å, c = 2.8236 Å
α = 90.00°, β = 90.00°, γ = 90.00°
Last column: nearest neighbours and their distance in Å.
Space group P4/mbm (No. 127)
Inequivalent atoms, fractional coordinates:
Y (0.0000, 0.0000, 0.0000)  2 Y 2.82, 4 V 3.13
V (0.1102, 0.3898, 0.0000)  1 V 2.41
Ge (0.1794, 0.6794, 0.5000)  6 V 2.70, 2 Ge 2.82

Calculated density, g/cm³: 6.62
DOS(E_F), states/eV per cell: 8.21
Formation energy from the elements, eV/atom: -0.169


No. 19
A plane-wave DFT calculation with PBE-GGA was carried out for crystalline U3Os at its relaxed geometry.

a = 4.7238 Å, b = 4.7238 Å, c = 3.5106 Å
α = 90.00°, β = 90.00°, γ = 90.00°
Last column: nearest neighbours and their distance in Å.
Space group P4mm (No. 99)
Inequivalent atoms, fractional coordinates:
U (0.0000, 0.0000, 0.0000)  4 U 2.66
U (0.0000, 0.5000, 0.6506)  2 U 2.66, 2 Os 2.90
Os (0.5000, 0.5000, 0.1725)  8 U 2.90-2.99

Calculated density, g/cm³: 19.17
DOS(E_F), states/eV per cell: 8.09
Formation energy from the elements, eV/atom: -0.006


No. 20
A plane-wave DFT calculation with PBE-GGA was carried out for crystalline PmCuF4 at its relaxed geometry.

a = 3.8717 Å, b = 4.1312 Å, c = 6.0126 Å
α = 89.71°, β = 74.12°, γ = 89.92°
Last column: nearest neighbours and their distance in Å.
Space group P1 (No. 1)
Inequivalent atoms, fractional coordinates:
Pm (0.0000, 0.0000, 0.0000)  8 F 2.32-2.42
Cu (0.5024, 0.5008, 0.5007)  2 F 1.91
F (0.1258, 0.5014, 0.7818)  1 Cu 1.91
F (0.3983, 0.9981, 0.2255)  2 Pm 2.32-2.35
F (0.6021, 0.0011, 0.7739)  2 Pm 2.32-2.36
F (0.8754, 0.4985, 0.2182)  1 Cu 1.91

Energy relative to the elements, uncorrected, eV/f.u.: -17.9
Calculated density, g/cm³: 5.11
DOS(E_F), states/eV per cell: 0.00


No. 21
A plane-wave DFT calculation with PBE-GGA was carried out for crystalline Nb2ZnSe at its relaxed geometry.

a = 6.4360 Å, b = 6.4360 Å, c = 6.4360 Å
α = 90.00°, β = 90.00°, γ = 90.00°
Last column: nearest neighbours and their distance in Å.
Space group Fm-3m (No. 225)
Inequivalent atoms, fractional coordinates:
Nb (0.2500, 0.2500, 0.2500)  4 Zn 2.79, 4 Se 2.79
Zn (0.0000, 0.0000, 0.0000)  8 Nb 2.79
Se (0.0000, 0.0000, 0.5000)  8 Nb 2.79

Energy relative to the elements, uncorrected, eV/f.u.: 0.1
Calculated density, g/cm³: 8.23
DOS(E_F), states/eV per cell: 12.75


No. 22
A plane-wave DFT calculation with PBE-GGA was carried out for crystalline ErTmBeGa at its relaxed geometry.

a = 6.9006 Å, b = 6.9006 Å, c = 6.9006 Å
α = 90.00°, β = 90.00°, γ = 90.00°
Last column: nearest neighbours and their distance in Å.
Space group F-43m (No. 216)
Inequivalent atoms, fractional coordinates:
Er (0.0000, 0.0000, 0.0000)  4 Ga 2.99, 4 Be 2.99
Tm (0.0000, 0.0000, 0.5000)  4 Be 2.99, 4 Ga 2.99
Be (0.2500, 0.2500, 0.2500)  4 Er 2.99, 4 Tm 2.99
Ga (0.2500, 0.2500, 0.7500)  4 Er 2.99, 4 Tm 2.99

Calculated density, g/cm³: 8.39
DOS(E_F), states/eV per cell: 11.86
Formation energy from the elements, eV/atom: -0.252